(1)
The following is a DFT calculation (PBE) of a relaxed structure of FeCoH2N.

The structure in POSCAR format:
```
FeCoH2N
1.0
2.863 0.000 0.000
0.000 2.863 0.000
0.000 0.000 5.001
Fe Co H N
1 1 2 1
Cartesian
0.000 0.000 0.000
0.000 0.000 2.500
0.000 1.431 2.500
1.431 0.000 2.500
1.431 1.431 0.000
```

Summary:
- Symmetry: P4/mmm
- Total DFT energy (no corrections): -5.472 eV per atom


(2)
The following is a DFT calculation (PBE) of a relaxed structure of Nb2FeCoH.

The structure in POSCAR format:
```
Nb2FeCoH
1.0
4.226 0.000 0.000
0.000 4.226 0.000
0.000 0.000 3.387
Nb Fe Co H
2 1 1 1
Cartesian
0.000 2.113 0.000
2.113 0.000 0.000
0.000 0.000 1.694
2.113 2.113 1.694
2.113 2.113 0.000
```

Summary:
- Symmetry: P4/mmm
- Energy above the lowest structure with this stoichiometry: 0.0 meV/atom


(3)
The following is a DFT calculation (PBE) of a relaxed structure of NbFe2CoH.

The structure in POSCAR format:
```
NbFe2CoH
1.0
3.626 0.000 0.000
0.000 3.626 0.000
0.000 0.000 3.974
Nb Fe Co H
1 2 1 1
Cartesian
0.000 0.000 0.000
0.000 1.813 1.987
1.813 0.000 1.987
1.813 1.813 0.000
0.000 0.000 1.987
```

Summary:
- Symmetry: P4/mmm
- Energy above the lowest structure with this stoichiometry: 55.3 meV/atom


(4)
The following is a DFT calculation (PBE) of a relaxed structure of Nb2FeCoH.

The structure in POSCAR format:
```
Nb2FeCoH
1.0
4.094 0.000 0.000
0.000 4.094 0.000
0.000 0.000 3.544
Nb Fe Co H
2 1 1 1
Cartesian
0.000 2.047 0.000
2.047 0.000 0.000
0.000 0.000 1.772
2.047 2.047 1.772
0.000 0.000 0.000
```

Summary:
- Symmetry: P4/mmm
- Energy above the lowest structure with this stoichiometry: 15.2 meV/atom